No. 1
Below is a relaxed structure of RbAlSn2S6, with properties calculated at the GGA-PBE level.

Values from the calculation:
uncorrected formation energy	-0.61	eV/atom
magnetic moment	0.00	μB/f.u.
crystal system	monoclinic
calculated total energy	-87.09	eV/cell

Lattice parameters (Å, degrees): 9.876 9.876 7.362 106.63 106.63 94.38
Fractional positions:
Rb1 0.106 0.894 0.750
Rb2 0.894 0.106 0.250
Al1 0.221 0.779 0.250
Al2 0.779 0.221 0.750
Sn1 0.227 0.389 0.860
Sn2 0.389 0.227 0.360
Sn3 0.611 0.773 0.640
Sn4 0.773 0.611 0.140
S1 0.008 0.214 0.736
S2 0.214 0.008 0.236
S3 0.229 0.646 0.954
S4 0.290 0.407 0.561
S5 0.354 0.771 0.546
S6 0.407 0.290 0.061
S7 0.593 0.710 0.939
S8 0.646 0.229 0.454
S9 0.710 0.593 0.439
S10 0.771 0.354 0.046
S11 0.786 0.992 0.764
S12 0.992 0.786 0.264

No. 2
Below is a relaxed structure of RbSr2AlS4, with properties calculated at the GGA-PBE level.

Values from the calculation:
uncorrected formation energy	-1.36	eV/atom
magnetic moment	0.00	μB/f.u.
crystal system	orthorhombic
calculated total energy	-70.89	eV/cell

Lattice parameters (Å, degrees): 8.483 8.483 8.483 121.59 119.06 89.45
Fractional positions:
Rb1 0.500 0.000 0.000
Rb2 0.500 0.500 0.500
Sr1 0.000 0.000 0.000
Sr2 0.000 0.000 0.500
Sr3 0.000 0.500 0.000
Sr4 0.500 0.000 0.500
Al1 0.000 0.500 0.500
Al2 0.500 0.500 0.000
S1 0.173 0.688 0.485
S2 0.243 0.242 0.499
S3 0.243 0.744 0.001
S4 0.297 0.312 0.985
S5 0.703 0.688 0.015
S6 0.757 0.256 0.999
S7 0.757 0.758 0.501
S8 0.827 0.312 0.515

No. 3
Below is a relaxed structure of RbSrAlS3, with properties calculated at the GGA-PBE level.

Values from the calculation:
uncorrected formation energy	-1.29	eV/atom
magnetic moment	0.00	μB/f.u.
crystal system	monoclinic
calculated total energy	-53.08	eV/cell

Lattice parameters (Å, degrees): 8.333 8.333 8.909 104.14 104.14 33.98
Fractional positions:
Rb1 0.148 0.148 0.066
Rb2 0.852 0.852 0.934
Sr1 0.149 0.149 0.573
Sr2 0.851 0.851 0.427
Al1 0.493 0.493 0.719
Al2 0.507 0.507 0.281
S1 0.004 0.004 0.285
S2 0.346 0.346 0.651
S3 0.361 0.361 0.217
S4 0.639 0.639 0.783
S5 0.654 0.654 0.349
S6 0.996 0.996 0.715